[1]
Computed, not measured: crystalline CaAcPrEr at its relaxed geometry at the PBE-GGA level of DFT.

Unit cell a=8.4547 b=8.4547 c=8.4547 alpha=90.00 beta=90.00 gamma=90.00
Last column: nearest neighbours and their distance in Å.
Space group F-43m (No. 216)
Asymmetric unit:
Ca: 0.0000 0.0000 0.0000 x4  4 Ac 3.66, 4 Pr 3.66
Ac: 0.2500 0.2500 0.7500 x4  4 Er 3.66, 4 Ca 3.66
Pr: 0.2500 0.2500 0.2500 x4  4 Ca 3.66, 4 Er 3.66
Er: 0.0000 0.0000 0.5000 x4  4 Ac 3.66, 4 Pr 3.66

Summary:
- relative energy among the computed polymorphs (eV per formula unit) = 0.129
- crystal system = cubic
- formation enthalpy at 0 K (eV/atom) = 0.0982

[2]
Computed, not measured: crystalline Pa2HBr8 at its relaxed geometry at the PBE-GGA level of DFT.

Unit cell a=9.2064 b=12.7910 c=8.1546 alpha=90.00 beta=100.07 gamma=90.00
Last column: nearest neighbours and their distance in Å.
Space group C2/m (No. 12)
Asymmetric unit:
Pa: 0.0814 0.0000 0.2675 x4  1 H 2.18
H: 0.0000 0.0000 0.0000 x2  2 Pa 2.18
Br: 0.0561 0.2078 0.2484 x8  1 Pa 2.67
Br: 0.1538 0.5000 0.8226 x4  1 Pa 2.67
Br: 0.2012 0.0000 0.6163 x4  2 Pa 2.87-2.92

Summary:
- crystal system = monoclinic
- electronic total energy (eV per atom) = -4.49

[3]
Computed, not measured: crystalline Sm4PRh4 at its relaxed geometry at the PBE-GGA level of DFT.

Unit cell a=8.4381 b=8.4381 c=5.6298 alpha=90.00 beta=90.00 gamma=90.00
Last column: nearest neighbours and their distance in Å.
Space group P4_2/n (No. 86, origin choice 2)
Asymmetric unit:
Sm: 0.0349 0.6897 0.1060 x8  4 Rh 2.86-3.09, 1 P 3.17
P: 0.2500 0.2500 0.2500 x2  4 Rh 2.25
Rh: 0.0248 0.3526 0.3986 x8  1 P 2.25

Summary:
- crystal system = tetragonal
- formation enthalpy at 0 K (eV/atom) = -0.7894

[4]
Computed, not measured: crystalline Ir5Cl3 at its relaxed geometry at the PBE-GGA level of DFT.

Unit cell a=5.5606 b=8.3101 c=8.9312 alpha=84.04 beta=71.87 gamma=70.52
Last column: nearest neighbours and their distance in Å.
Space group P1 (No. 1)
Asymmetric unit:
Ir: 0.0000 0.0000 0.0000 x1  9 Ir 2.56-2.70
Ir: 0.0244 0.2395 0.1614 x1  2 Cl 2.36-2.41, 2 Ir 2.56-2.64
Ir: 0.1432 0.9277 0.2514 x1  1 Cl 2.34, 3 Ir 2.56-2.58
Ir: 0.1860 0.2398 0.8383 x1  2 Cl 2.36-2.41, 2 Ir 2.56-2.64
Ir: 0.3943 0.9279 0.7488 x1  1 Cl 2.33, 3 Ir 2.56-2.58
Ir: 0.4748 0.9990 0.0000 x1  9 Ir 2.58-2.72
Ir: 0.5444 0.2346 0.1588 x1  2 Cl 2.37-2.40, 1 Ir 2.54
Ir: 0.6536 0.9232 0.2433 x1  1 Cl 2.30, 1 Ir 2.54
Ir: 0.7031 0.2344 0.8418 x1  2 Cl 2.37-2.40, 1 Ir 2.54
Ir: 0.8968 0.9231 0.7567 x1  1 Cl 2.30, 1 Ir 2.54
Cl: 0.0777 0.8116 0.5055 x1  2 Ir 2.30-2.34
Cl: 0.1331 0.3487 0.3567 x1  2 Ir 2.36-2.37
Cl: 0.4904 0.4882 0.0004 x1  2 Ir 2.40
Cl: 0.4910 0.3488 0.6434 x1  2 Ir 2.36-2.37
Cl: 0.5822 0.8138 0.4947 x1  2 Ir 2.30-2.33
Cl: 0.9848 0.4924 0.9998 x1  2 Ir 2.41

Summary:
- relative energy among the computed polymorphs (eV per formula unit) = 0.000
- crystal system = triclinic

[5]
Computed, not measured: crystalline BiPb4 at its relaxed geometry at the PBE-GGA level of DFT.

Unit cell a=3.5529 b=3.5529 c=43.6079 alpha=90.00 beta=90.00 gamma=120.00
Last column: nearest neighbours and their distance in Å.
Space group R-3m (No. 166, hexagonal axes)
Asymmetric unit:
Bi: 0.0000 0.0000 0.0000 x3  6 Pb 3.51, 6 Bi 3.55
Pb: 0.0000 0.0000 0.1997 x6  12 Pb 3.53-3.62
Pb: 0.0000 0.0000 0.3987 x6  3 Bi 3.51, 9 Pb 3.55-3.62

Summary:
- relative energy among the computed polymorphs (eV per formula unit) = 0.186
- crystal system = trigonal
- formation enthalpy at 0 K (eV/atom) = 0.0477

[6]
Computed, not measured: crystalline SrGa2PdAu5 at its relaxed geometry at the PBE-GGA level of DFT.

Unit cell a=5.0317 b=5.0317 c=7.4992 alpha=90.00 beta=90.00 gamma=90.00
Last column: nearest neighbours and their distance in Å.
Space group P4/mmm (No. 123)
Asymmetric unit:
Sr: 0.0000 0.0000 0.0000 x1  12 Au 3.36-3.56, 2 Pd 3.75
Ga: 0.5000 0.5000 0.3361 x2  1 Ga 2.46, 5 Au 2.52-2.53
Pd: 0.0000 0.0000 0.5000 x1  8 Au 2.94
Au: 0.0000 0.5000 0.2963 x4  2 Ga 2.53
Au: 0.5000 0.5000 0.0000 x1  2 Ga 2.52

Summary:
- crystal system = tetragonal
- formation enthalpy at 0 K (eV/atom) = -0.2308

[7]
Computed, not measured: crystalline ZrBe4Pb at its relaxed geometry at the PBE-GGA level of DFT.

Unit cell a=6.9594 b=6.9594 c=6.9594 alpha=90.00 beta=90.00 gamma=90.00
Last column: nearest neighbours and their distance in Å.
Space group F-43m (No. 216)
Asymmetric unit:
Zr: 0.0000 0.0000 0.0000 x4  12 Be 2.87, 4 Pb 3.01
Be: 0.1344 0.1344 0.6344 x16  3 Be 2.28
Pb: 0.2500 0.2500 0.2500 x4  12 Be 2.91, 4 Zr 3.01

Summary:
- crystal system = cubic
- formation enthalpy at 0 K (eV/atom) = 0.3469

[8]
Computed, not measured: crystalline PmSmTeBr at its relaxed geometry at the PBE-GGA level of DFT.

Unit cell a=7.5364 b=7.5364 c=7.5364 alpha=90.00 beta=90.00 gamma=90.00
Last column: nearest neighbours and their distance in Å.
Space group F-43m (No. 216)
Asymmetric unit:
Pm: 0.0000 0.0000 0.0000 x4  4 Br 3.26, 4 Te 3.26
Sm: 0.0000 0.0000 0.5000 x4  4 Te 3.26, 4 Br 3.26
Te: 0.2500 0.2500 0.2500 x4  4 Pm 3.26, 4 Sm 3.26
Br: 0.2500 0.2500 0.7500 x4  4 Sm 3.26, 4 Pm 3.26

Summary:
- crystal system = cubic
- electronic total energy (eV per atom) = -4.76

Listing calculated volume for the structures above in their given order: 37.772; 42.977; 22.269; 23.110; 31.780; 21.096; 14.044; 26.753 Å³/atom.